(1)
This record from Alexandria describes LaHoThSc after structural relaxation. The functional is PBE.

The structure in POSCAR format:
```
LaHoThSc
1.0
5.602 0.000 0.000
2.801 4.851 0.000
2.801 1.617 4.574
La Th Sc Ho
1 1 1 1
Direct
0.750 0.750 0.750
0.250 0.250 0.250
0.000 0.000 0.000
0.500 0.500 0.500
```

Computed properties:
Its volume is 31.076 Å³ per atom. Its symmetry is No. 216. As for the total magnetization: 0.0 μB/f.u. The uncorrected energy is -5.7190 eV per atom. Its offset from the most stable computed form is 74 meV/atom.

(2)
This record from Alexandria describes La2HoScTl2 after structural relaxation. The functional is PBE.

The structure in POSCAR format:
```
La2HoScTl2
1.0
-0.654 -4.895 -0.661
2.483 -1.202 6.450
-9.307 0.741 3.721
La Sc Tl Ho
4 2 4 2
Direct
0.500 0.080 0.063
0.500 0.580 0.937
0.000 0.312 0.176
0.000 0.812 0.824
0.500 0.163 0.693
0.500 0.663 0.307
0.500 0.236 0.398
0.000 0.289 0.839
0.000 0.789 0.161
0.500 0.736 0.602
0.000 0.465 0.542
0.000 0.965 0.458
```

Computed properties:
Its volume is 29.277 Å³ per atom. Its symmetry is No. 26. As for the total magnetization: 0.0 μB/f.u. The uncorrected energy is -4.5204 eV per atom.

(3)
This record from Alexandria describes LaHoSc2Tl4 after structural relaxation. The functional is PBE.

The structure in POSCAR format:
```
LaHoSc2Tl4
1.0
5.304 0.000 0.000
2.652 4.593 0.000
2.652 1.531 8.722
Sc Tl La Ho
2 4 1 1
Direct
0.249 0.249 0.253
0.751 0.751 0.747
0.622 0.622 0.135
0.872 0.872 0.383
0.128 0.128 0.617
0.378 0.378 0.865
0.000 0.000 0.000
0.500 0.500 0.500
```

Computed properties:
Its volume is 26.563 Å³ per atom. Its symmetry is No. 166. As for the total magnetization: 0.0 μB/f.u. The uncorrected energy is -4.2509 eV per atom.

(4)
This record from Alexandria describes LaHo5TmSc2 after structural relaxation. The functional is PBE.

The structure in POSCAR format:
```
LaHo5TmSc2
1.0
5.581 0.000 0.000
-2.791 10.806 0.000
0.000 0.000 9.245
Ho Sc La Tm
10 4 2 2
Direct
0.532 0.063 0.250
0.309 0.618 0.721
0.993 0.987 0.519
0.265 0.530 0.334
0.468 0.937 0.750
0.007 0.013 0.019
0.392 0.785 0.049
0.691 0.382 0.221
0.608 0.215 0.549
0.735 0.470 0.834
0.887 0.774 0.824
0.858 0.716 0.191
0.113 0.226 0.324
0.142 0.284 0.691
0.184 0.368 0.017
0.816 0.632 0.517
0.403 0.807 0.420
0.597 0.193 0.920
```

Computed properties:
Its volume is 30.978 Å³ per atom. Its symmetry is No. 36. As for the total magnetization: 0.0 μB/f.u. The uncorrected energy is -4.8214 eV per atom.

(5)
This record from Alexandria describes La6Ho2TmSc after structural relaxation. The functional is PBE.

The structure in POSCAR format:
```
La6Ho2TmSc
1.0
8.986 0.000 0.633
0.000 7.040 0.000
-2.325 -3.520 5.288
Ho La Sc Tm
2 6 1 1
Direct
0.187 0.087 0.174
0.813 0.913 0.826
0.412 0.643 0.286
0.216 0.079 0.669
0.784 0.921 0.331
0.784 0.410 0.331
0.588 0.357 0.714
0.216 0.590 0.669
0.500 0.000 0.000
0.000 0.500 0.000
```

Computed properties:
Its volume is 34.490 Å³ per atom. Its symmetry is No. 12. As for the total magnetization: 0.0 μB/f.u. The uncorrected energy is -4.7602 eV per atom.

(6)
This record from Alexandria describes LaHo5Tm2Sc after structural relaxation. The functional is PBE.

The structure in POSCAR format:
```
LaHo5Tm2Sc
1.0
5.552 0.000 0.000
-2.776 9.825 0.000
0.000 0.000 10.298
Ho Tm Sc La
10 4 2 2
Direct
0.276 0.552 0.323
0.377 0.754 0.022
0.982 0.965 0.522
0.018 0.035 0.022
0.297 0.594 0.707
0.480 0.961 0.738
0.623 0.246 0.522
0.703 0.406 0.207
0.724 0.448 0.823
0.520 0.039 0.238
0.111 0.222 0.314
0.114 0.228 0.734
0.886 0.772 0.234
0.889 0.778 0.814
0.804 0.608 0.514
0.196 0.392 0.014
0.414 0.829 0.449
0.586 0.171 0.949
```

Computed properties:
Its volume is 31.206 Å³ per atom. Its symmetry is No. 36. As for the total magnetization: 0.0 μB/f.u. The uncorrected energy is -4.6029 eV per atom.